Below is a geometry-optimized TcMoIr structure, with properties calculated at the PBE-GGA level.

Cell lengths 5.2378, 4.8038, 8.3840 Å; angles 90.00, 122.10, 90.00 degrees
With the nearest neighbours (Å) after each atom.
Element x y z (fractional)
Tc 0.0044 0.8445 0.6670  4 Ir 2.69-2.79, 5 Mo 2.73-2.80, 3 Tc 2.78-2.79
Tc 0.0044 0.3445 0.1670  4 Ir 2.69-2.79, 5 Mo 2.73-2.80, 3 Tc 2.78-2.79
Tc 0.9956 0.8445 0.3330  4 Ir 2.69-2.79, 5 Mo 2.73-2.80, 3 Tc 2.78-2.79
Tc 0.9956 0.3445 0.8330  4 Ir 2.69-2.79, 5 Mo 2.73-2.80, 3 Tc 2.78-2.79
Mo 0.0000 0.8435 0.0000  4 Ir 2.70-2.79, 2 Mo 2.73, 6 Tc 2.77-2.80
Mo 0.5000 0.0074 0.0000  4 Tc 2.73-2.76, 2 Mo 2.73, 6 Ir 2.77-2.80
Mo 0.5000 0.5074 0.5000  4 Tc 2.73-2.76, 2 Mo 2.73, 6 Ir 2.77-2.80
Mo 0.0000 0.3435 0.5000  4 Ir 2.70-2.79, 2 Mo 2.73, 6 Tc 2.77-2.80
Ir 0.5115 0.5062 0.1695  4 Tc 2.69-2.79, 5 Mo 2.70-2.80, 3 Ir 2.78-2.79
Ir 0.4885 0.0062 0.3305  4 Tc 2.69-2.79, 5 Mo 2.70-2.80, 3 Ir 2.78-2.79
Ir 0.4885 0.5062 0.8305  4 Tc 2.69-2.79, 5 Mo 2.70-2.80, 3 Ir 2.78-2.79
Ir 0.5115 0.0062 0.6695  4 Tc 2.69-2.79, 5 Mo 2.70-2.80, 3 Ir 2.78-2.79

Values from the calculation:
ΔE_f = -50 kJ/mol of formula units
total DFT energy (no corrections) = -10.192 eV/atom
space-group type = C2 (5)
relative energy among the computed polymorphs = 0 meV/atom